[1]
{
  "formula": "Pr8Sn5Te",
  "functional": "PBE",
  "state": "optimized geometry",
  "lattice_angstrom": [[-4.828, 4.828, 4.823], [4.828, -4.828, 4.823], [4.828, 4.828, -4.823]],
  "species": ["Pr", "Pr", "Pr", "Pr", "Pr", "Pr", "Pr", "Pr", "Sn", "Sn", "Sn", "Sn", "Sn", "Te"],
  "fractional_positions": [[0.014, 0.623, 0.752], [0.232, 0.483, 0.107], [0.376, 0.126, 0.893], [0.377, 0.129, 0.390], [0.517, 0.624, 0.749], [0.738, 0.986, 0.610], [0.871, 0.262, 0.248], [0.874, 0.768, 0.251], [0.000, 0.000, 0.000], [0.127, 0.251, 0.625], [0.498, 0.873, 0.123], [0.625, 0.502, 0.375], [0.749, 0.375, 0.877], [0.250, 0.750, 0.500]],
  "spacegroup": "No. 82",
  "crystal_system": "tetragonal",
  "raw_formation_energy_mev_per_atom": -832
}

=====

[2]
{
  "formula": "MnBe2Re",
  "functional": "PBE",
  "state": "optimized geometry",
  "lattice_angstrom": [[3.929, 0.000, 0.000], [0.000, 3.929, 0.000], [0.000, 0.000, 5.539]],
  "species": ["Mn", "Mn", "Be", "Be", "Be", "Be", "Re", "Re"],
  "fractional_positions": [[0.000, 0.000, 0.000], [0.500, 0.500, 0.500], [0.000, 0.000, 0.500], [0.000, 0.500, 0.250], [0.500, 0.000, 0.750], [0.500, 0.500, 0.000], [0.000, 0.500, 0.750], [0.500, 0.000, 0.250]],
  "spacegroup": "No. 119",
  "crystal_system": "tetragonal",
  "delta_e_f_ev_per_atom": -0.12,
  "e_above_lowest_polymorph_mev_per_atom": 0
}

=====

[3]
{
  "formula": "SmIn2SnTe4",
  "functional": "PBE",
  "state": "optimized geometry",
  "lattice_angstrom": [[7.911, 0.000, 0.000], [0.000, 4.469, 0.000], [-2.646, 0.000, 7.600]],
  "species": ["Sm", "In", "In", "Sn", "Te", "Te", "Te", "Te"],
  "fractional_positions": [[0.000, 0.000, 0.000], [0.000, 0.500, 0.500], [0.500, 0.000, 0.500], [0.500, 0.500, 0.000], [0.241, 0.500, 0.236], [0.244, 0.000, 0.758], [0.756, 0.000, 0.242], [0.759, 0.500, 0.764]],
  "spacegroup": "No. 10",
  "crystal_system": "monoclinic",
  "raw_formation_energy_mev_per_atom": -608
}

=====

Calculated total energy values (in eV per formula unit) by entry order: -73.04 -29.53 -31.63.